A plane-wave DFT calculation with PBE was carried out for a relaxed structure of PrDyScTl.

extended XYZ file:
```
4
Lattice="-3.115 -4.469 -0.147 2.313 -4.925 -0.309 -0.153 -3.357 4.291" Properties=species:S:1:pos:R:3 pbc="T T T"
Pr -0.239 -3.188 0.959
Sc -0.478 -6.375 1.917
Tl 0.000 0.000 0.000
Dy -0.716 -9.563 2.876
```

Magnetization in μB/cell: 1.26
Symmetry: F-43m, No. 216
DFT formation energy in eV/atom: -0.0689